1.
Entry from the Alexandria database: a relaxed structure of Pm3Nd5Sc (PBE).

Geometry as CIF:
```
data_Pm3Nd5Sc
_space_group_name_H-M_alt 'P 1'
_space_group_IT_number 1
_space_group_name_Hall 'P 1'
_cell_length_a 9.388
_cell_length_b 9.388
_cell_length_c 9.698
_cell_angle_alpha 118.95
_cell_angle_beta 118.95
_cell_angle_gamma 90.00
loop_
_atom_site_label
_atom_site_fract_x
_atom_site_fract_y
_atom_site_fract_z
Pm1 0.612 0.112 0.000
Pm2 0.388 0.888 0.000
Pm3 0.888 0.612 0.000
Pm4 0.112 0.388 0.000
Pm5 0.250 0.250 0.500
Pm6 0.750 0.750 0.500
Nd1 0.065 0.565 0.729
Nd2 0.664 0.164 0.729
Nd3 0.164 0.065 0.729
Nd4 0.565 0.664 0.729
Nd5 0.935 0.435 0.271
Nd6 0.336 0.836 0.271
Nd7 0.836 0.935 0.271
Nd8 0.435 0.336 0.271
Nd9 0.500 0.500 0.000
Nd10 0.000 0.000 0.000
Sc1 0.750 0.250 0.500
Sc2 0.250 0.750 0.500
```

Results
- ΔH_f (0 K): 0.292 eV/atom
- Crystal system: tetragonal
- Total energy: -83.58 eV for the cell shown



2.
Entry from the Alexandria database: a relaxed structure of Pm3NdSc6 (PBE).

Geometry as CIF:
```
data_Pm3NdSc6
_space_group_name_H-M_alt 'P 1'
_space_group_IT_number 1
_space_group_name_Hall 'P 1'
_cell_length_a 6.629
_cell_length_b 9.407
_cell_length_c 9.407
_cell_angle_alpha 93.59
_cell_angle_beta 90.00
_cell_angle_gamma 90.00
loop_
_atom_site_label
_atom_site_fract_x
_atom_site_fract_y
_atom_site_fract_z
Pm1 0.488 0.831 0.751
Pm2 0.988 0.751 0.831
Pm3 0.209 0.406 0.594
Pm4 0.709 0.594 0.406
Pm5 0.988 0.169 0.249
Pm6 0.488 0.249 0.169
Nd1 0.018 0.193 0.807
Nd2 0.518 0.807 0.193
Sc1 0.196 0.729 0.499
Sc2 0.696 0.499 0.729
Sc3 0.314 0.519 0.948
Sc4 0.814 0.948 0.519
Sc5 0.251 0.994 0.006
Sc6 0.511 0.208 0.792
Sc7 0.011 0.792 0.208
Sc8 0.751 0.006 0.994
Sc9 0.314 0.052 0.481
Sc10 0.814 0.481 0.052
Sc11 0.196 0.501 0.271
Sc12 0.696 0.271 0.501
```

Results
- ΔH_f (0 K): 0.222 eV/atom
- Crystal system: orthorhombic
- Total energy: -109.58 eV for the cell shown



3.
Entry from the Alexandria database: a relaxed structure of Pm3Nd6Sc (PBE).

Geometry as CIF:
```
data_Pm3Nd6Sc
_space_group_name_H-M_alt 'P 1'
_space_group_IT_number 1
_space_group_name_Hall 'P 1'
_cell_length_a 10.011
_cell_length_b 10.011
_cell_length_c 7.005
_cell_angle_alpha 44.39
_cell_angle_beta 44.39
_cell_angle_gamma 60.00
loop_
_atom_site_label
_atom_site_fract_x
_atom_site_fract_y
_atom_site_fract_z
Pm1 0.350 0.350 0.949
Pm2 0.605 0.605 0.186
Pm3 0.096 0.096 0.713
Nd1 0.927 0.605 0.202
Nd2 0.266 0.927 0.202
Nd3 0.605 0.266 0.202
Nd4 0.095 0.434 0.699
Nd5 0.773 0.095 0.699
Nd6 0.434 0.773 0.699
Sc1 0.850 0.850 0.449
```

Results
- ΔH_f (0 K): 0.206 eV/atom
- Crystal system: trigonal
- Total energy: -47.13 eV for the cell shown
- Polymorph energy (0 for the lowest one): 69.1 meV/atom



4.
Entry from the Alexandria database: a relaxed structure of PmNdSc4 (PBE).

Geometry as CIF:
```
data_PmNdSc4
_space_group_name_H-M_alt 'P 1'
_space_group_IT_number 1
_space_group_name_Hall 'P 1'
_cell_length_a 8.521
_cell_length_b 5.391
_cell_length_c 9.908
_cell_angle_alpha 90.01
_cell_angle_beta 104.95
_cell_angle_gamma 129.22
loop_
_atom_site_label
_atom_site_fract_x
_atom_site_fract_y
_atom_site_fract_z
Pm1 0.126 0.876 0.751
Pm2 0.874 0.124 0.249
Nd1 0.376 0.626 0.251
Nd2 0.624 0.374 0.749
Sc1 0.959 0.209 0.917
Sc2 0.458 0.708 0.917
Sc3 0.291 0.541 0.583
Sc4 0.709 0.459 0.417
Sc5 0.207 0.958 0.417
Sc6 0.542 0.292 0.083
Sc7 0.793 0.042 0.583
Sc8 0.041 0.791 0.083
```

Results
- ΔH_f (0 K): 0.079 eV/atom
- Crystal system: orthorhombic
- Total energy: -68.74 eV for the cell shown
- Polymorph energy (0 for the lowest one): 32.4 meV/atom



5.
Entry from the Alexandria database: a relaxed structure of Pm10NdSc4 (PBE).

Geometry as CIF:
```
data_Pm10NdSc4
_space_group_name_H-M_alt 'P 1'
_space_group_IT_number 1
_space_group_name_Hall 'P 1'
_cell_length_a 7.789
_cell_length_b 8.997
_cell_length_c 8.997
_cell_angle_alpha 79.20
_cell_angle_beta 64.35
_cell_angle_gamma 64.35
loop_
_atom_site_label
_atom_site_fract_x
_atom_site_fract_y
_atom_site_fract_z
Pm1 0.250 0.500 0.500
Pm2 0.677 0.355 0.873
Pm3 0.968 0.127 0.355
Pm4 0.450 0.873 0.645
Pm5 0.905 0.645 0.127
Pm6 0.323 0.645 0.127
Pm7 0.750 0.500 0.500
Pm8 0.095 0.355 0.873
Pm9 0.550 0.127 0.355
Pm10 0.032 0.873 0.645
Nd1 0.000 0.000 0.000
Sc1 0.431 0.865 0.274
Sc2 0.705 0.726 0.865
Sc3 0.295 0.274 0.135
Sc4 0.569 0.135 0.726
```

Results
- ΔH_f (0 K): 0.538 eV/atom
- Crystal system: tetragonal
- Total energy: -69.52 eV for the cell shown



6.
Entry from the Alexandria database: a relaxed structure of Pm4NdSc5 (PBE).

Geometry as CIF:
```
data_Pm4NdSc5
_space_group_name_H-M_alt 'P 1'
_space_group_IT_number 1
_space_group_name_Hall 'P 1'
_cell_length_a 5.839
_cell_length_b 7.749
_cell_length_c 7.749
_cell_angle_alpha 81.84
_cell_angle_beta 67.87
_cell_angle_gamma 67.87
loop_
_atom_site_label
_atom_site_fract_x
_atom_site_fract_y
_atom_site_fract_z
Pm1 0.484 0.324 0.676
Pm2 0.808 0.676 0.676
Pm3 0.160 0.324 0.324
Pm4 0.484 0.676 0.324
Nd1 0.203 0.000 0.000
Sc1 0.733 0.380 0.000
Sc2 0.113 0.000 0.620
Sc3 0.733 0.000 0.380
Sc4 0.113 0.620 0.000
Sc5 0.681 0.000 0.000
```

Results
- ΔH_f (0 K): 0.235 eV/atom
- Crystal system: tetragonal
- Total energy: -53.08 eV for the cell shown



7.
Entry from the Alexandria database: a relaxed structure of Pm2Nd7Sc (PBE).

Geometry as CIF:
```
data_Pm2Nd7Sc
_space_group_name_H-M_alt 'P 1'
_space_group_IT_number 1
_space_group_name_Hall 'P 1'
_cell_length_a 3.469
_cell_length_b 15.001
_cell_length_c 15.001
_cell_angle_alpha 154.01
_cell_angle_beta 90.00
_cell_angle_gamma 90.00
loop_
_atom_site_label
_atom_site_fract_x
_atom_site_fract_y
_atom_site_fract_z
Pm1 0.500 0.703 0.297
Pm2 0.500 0.297 0.703
Nd1 0.000 0.811 0.189
Nd2 0.000 0.189 0.811
Nd3 0.500 0.143 0.336
Nd4 0.500 0.857 0.664
Nd5 0.500 0.336 0.143
Nd6 0.500 0.664 0.857
Nd7 0.500 0.500 0.500
Sc1 0.000 0.000 0.000
```

Results
- ΔH_f (0 K): 0.170 eV/atom
- Crystal system: orthorhombic
- Total energy: -47.51 eV for the cell shown



8.
Entry from the Alexandria database: a relaxed structure of Pm3NdSc4 (PBE).

Geometry as CIF:
```
data_Pm3NdSc4
_space_group_name_H-M_alt 'P 1'
_space_group_IT_number 1
_space_group_name_Hall 'P 1'
_cell_length_a 5.909
_cell_length_b 7.344
_cell_length_c 10.869
_cell_angle_alpha 90.00
_cell_angle_beta 90.00
_cell_angle_gamma 90.00
loop_
_atom_site_label
_atom_site_fract_x
_atom_site_fract_y
_atom_site_fract_z
Pm1 0.629 0.643 0.000
Pm2 0.999 0.643 0.250
Pm3 0.499 0.357 0.250
Pm4 0.129 0.357 0.500
Pm5 0.499 0.357 0.750
Pm6 0.999 0.643 0.750
Nd1 0.130 0.357 0.000
Nd2 0.630 0.643 0.500
Sc1 0.145 0.898 0.000
Sc2 0.645 0.103 0.000
Sc3 0.984 0.103 0.250
Sc4 0.484 0.897 0.250
Sc5 0.145 0.897 0.500
Sc6 0.645 0.102 0.500
Sc7 0.484 0.897 0.750
Sc8 0.984 0.103 0.750
```

Results
- ΔH_f (0 K): 0.058 eV/atom
- Crystal system: orthorhombic
- Total energy: -87.77 eV for the cell shown



9.
Entry from the Alexandria database: a relaxed structure of Pm2Nd3Sc2 (PBE).

Geometry as CIF:
```
data_Pm2Nd3Sc2
_space_group_name_H-M_alt 'P 1'
_space_group_IT_number 1
_space_group_name_Hall 'P 1'
_cell_length_a 6.142
_cell_length_b 6.133
_cell_length_c 6.169
_cell_angle_alpha 80.21
_cell_angle_beta 80.06
_cell_angle_gamma 99.42
loop_
_atom_site_label
_atom_site_fract_x
_atom_site_fract_y
_atom_site_fract_z
Pm1 0.851 0.713 0.568
Pm2 0.149 0.287 0.432
Nd1 0.000 0.000 0.000
Nd2 0.707 0.418 0.148
Nd3 0.293 0.582 0.852
Sc1 0.571 0.137 0.716
Sc2 0.429 0.863 0.284
```

Results
- ΔH_f (0 K): 0.050 eV/atom
- Crystal system: triclinic
- Total energy: -36.11 eV for the cell shown



10.
Entry from the Alexandria database: a relaxed structure of Pm5Nd4Sc2 (PBE).

Geometry as CIF:
```
data_Pm5Nd4Sc2
_space_group_name_H-M_alt 'P 1'
_space_group_IT_number 1
_space_group_name_Hall 'P 1'
_cell_length_a 3.538
_cell_length_b 8.697
_cell_length_c 12.106
_cell_angle_alpha 94.44
_cell_angle_beta 98.40
_cell_angle_gamma 90.00
loop_
_atom_site_label
_atom_site_fract_x
_atom_site_fract_y
_atom_site_fract_z
Pm1 0.819 0.523 0.637
Pm2 0.181 0.477 0.363
Pm3 0.871 0.961 0.741
Pm4 0.500 0.000 0.000
Pm5 0.129 0.039 0.259
Nd1 0.274 0.176 0.549
Nd2 0.962 0.651 0.923
Nd3 0.726 0.824 0.451
Nd4 0.038 0.349 0.077
Sc1 0.413 0.303 0.826
Sc2 0.587 0.697 0.174
```

Results
- ΔH_f (0 K): 0.111 eV/atom
- Crystal system: monoclinic
- Total energy: -54.27 eV for the cell shown
- Polymorph energy (0 for the lowest one): 0.0 meV/atom



11.
Entry from the Alexandria database: a relaxed structure of Pm6NdSc2 (PBE).

Geometry as CIF:
```
data_Pm6NdSc2
_space_group_name_H-M_alt 'P 1'
_space_group_IT_number 1
_space_group_name_Hall 'P 1'
_cell_length_a 12.136
_cell_length_b 7.346
_cell_length_c 7.346
_cell_angle_alpha 87.35
_cell_angle_beta 70.84
_cell_angle_gamma 70.84
loop_
_atom_site_label
_atom_site_fract_x
_atom_site_fract_y
_atom_site_fract_z
Pm1 0.604 0.772 0.496
Pm2 0.896 0.504 0.228
Pm3 0.396 0.228 0.504
Pm4 0.104 0.496 0.772
Pm5 0.933 0.045 0.262
Pm6 0.567 0.738 0.955
Pm7 0.067 0.955 0.738
Pm8 0.433 0.262 0.045
Pm9 0.152 0.636 0.223
Pm10 0.348 0.777 0.364
Pm11 0.848 0.364 0.777
Pm12 0.652 0.223 0.636
Nd1 0.250 0.046 0.954
Nd2 0.750 0.954 0.046
Sc1 0.367 0.604 0.769
Sc2 0.133 0.231 0.396
Sc3 0.633 0.396 0.231
Sc4 0.867 0.769 0.604
```

Results
- ΔH_f (0 K): 0.182 eV/atom
- Crystal system: monoclinic
- Total energy: -88.60 eV for the cell shown
- Polymorph energy (0 for the lowest one): 0.0 meV/atom



12.
Entry from the Alexandria database: a relaxed structure of Pm2Nd4Sc (PBE).

Geometry as CIF:
```
data_Pm2Nd4Sc
_space_group_name_H-M_alt 'P 1'
_space_group_IT_number 1
_space_group_name_Hall 'P 1'
_cell_length_a 8.854
_cell_length_b 6.253
_cell_length_c 9.553
_cell_angle_alpha 90.14
_cell_angle_beta 90.00
_cell_angle_gamma 118.13
loop_
_atom_site_label
_atom_site_fract_x
_atom_site_fract_y
_atom_site_fract_z
Pm1 0.625 0.804 0.214
Pm2 0.556 0.591 0.856
Pm3 0.125 0.304 0.714
Pm4 0.835 0.442 0.285
Nd1 0.904 0.650 0.644
Nd2 0.415 0.166 0.143
Nd3 0.060 0.093 0.360
Nd4 0.272 0.735 0.430
Nd5 0.694 0.016 0.573
Nd6 0.190 0.514 0.069
Nd7 0.977 0.871 0.998
Nd8 0.346 0.957 0.785
Sc1 0.484 0.377 0.500
Sc2 0.767 0.231 0.929
```

Results
- ΔH_f (0 K): 0.033 eV/atom
- Crystal system: triclinic
- Total energy: -69.35 eV for the cell shown
- Polymorph energy (0 for the lowest one): 0.0 meV/atom



no.,magnetic moment (μB/cell)
1,0.002
2,0.000
3,0.001
4,0.000
5,0.000
6,0.000
7,0.000
8,0.004
9,0.000
10,0.000
11,0.000
12,0.000